A geometry-optimized ScTe2Br structure, computed with PBE-GGA.

a b c (Å): 6.662 6.662 6.662
angles (deg): 148.10 133.44 57.55
Sites, in units of the cell vectors:
Sc 0.250 0.750 0.500
Te 0.050 0.050 0.000
Te 0.450 0.450 0.000
Br 0.750 0.250 0.500

Distance to the lowest polymorph of the same formula (kJ per mole of atoms): 37.1
Uncorrected formation energy (eV per atom): -0.571



A geometry-optimized ScTe3Br structure, computed with PBE-GGA.

a b c (Å): 5.502 5.502 5.502
angles (deg): 90.00 90.00 90.00
Sites, in units of the cell vectors:
Sc 0.000 0.000 0.000
Te 0.500 0.000 0.000
Te 0.000 0.000 0.500
Te 0.000 0.500 0.000
Br 0.500 0.500 0.500

Distance to the lowest polymorph of the same formula (kJ per mole of atoms): 0.0
Uncorrected formation energy (eV per atom): -0.175



A geometry-optimized ScTeBr2 structure, computed with PBE-GGA.

a b c (Å): 9.705 9.705 7.432
angles (deg): 49.24 49.24 90.00
Sites, in units of the cell vectors:
Sc 0.250 0.750 0.500
Sc 0.500 0.500 0.000
Te 0.000 0.000 0.000
Te 0.750 0.250 0.500
Br 0.269 0.625 0.250
Br 0.375 0.519 0.750
Br 0.875 0.731 0.750
Br 0.481 0.125 0.250

Distance to the lowest polymorph of the same formula (kJ per mole of atoms): 26.0
Uncorrected formation energy (eV per atom): -0.941